Below is a geometry-optimized Al2HgAs structure, with properties calculated at the PBE-GGA level.

Lattice parameters (Å, degrees): 4.867 4.867 4.867 60.00 60.00 60.00
Atoms (fractional coordinates):
As  0.500  0.500  0.500
Hg  0.750  0.750  0.750
Al  0.000  0.000  0.000
Al  0.250  0.250  0.250

Values from the calculation:
* DFT total energy: -2.82 eV/atom
* E above lowest polymorph: 0.320 eV/atom
* formation enthalpy at 0 K: 0.289 eV per atom
* DOS at the Fermi energy: 0.45 states/eV/atom

***

Below is a geometry-optimized Al2HgAs structure, with properties calculated at the PBE-GGA level.

Lattice parameters (Å, degrees): 9.795 9.795 9.795 17.89 17.89 17.89
Atoms (fractional coordinates):
As  0.250  0.250  0.250
Hg  0.750  0.750  0.750
Al  0.998  0.998  0.998
Al  0.502  0.502  0.502

Values from the calculation:
* DFT total energy: -2.90 eV/atom
* E above lowest polymorph: 0.245 eV/atom
* formation enthalpy at 0 K: 0.213 eV per atom
* DOS at the Fermi energy: 0.34 states/eV/atom

***

Below is a geometry-optimized Al4HgAs structure, with properties calculated at the PBE-GGA level.

Lattice parameters (Å, degrees): 5.466 5.466 5.466 60.00 60.00 60.00
Atoms (fractional coordinates):
Al  0.874  0.375  0.375
Al  0.375  0.375  0.874
Al  0.375  0.874  0.375
Al  0.375  0.375  0.375
Hg  0.000  0.000  0.000
As  0.750  0.750  0.750

Values from the calculation:
* DFT total energy: -3.03 eV/atom
* formation enthalpy at 0 K: 0.289 eV per atom
* DOS at the Fermi energy: 0.78 states/eV/atom

***

Below is a geometry-optimized Al2HgAs structure, with properties calculated at the PBE-GGA level.

Lattice parameters (Å, degrees): 3.130 3.130 8.238 90.00 90.00 90.04
Atoms (fractional coordinates):
As  0.000  0.000  0.442
Hg  0.500  0.500  0.767
Al  0.000  0.000  0.036
Al  0.500  0.500  0.255

Values from the calculation:
* DFT total energy: -2.97 eV/atom
* E above lowest polymorph: 0.172 eV/atom
* formation enthalpy at 0 K: 0.141 eV per atom
* DOS at the Fermi energy: 0.29 states/eV/atom

***

Below is a geometry-optimized AlHgAs2 structure, with properties calculated at the PBE-GGA level.

Lattice parameters (Å, degrees): 4.861 4.861 4.861 60.00 60.00 60.00
Atoms (fractional coordinates):
As  0.250  0.250  0.250
As  0.750  0.750  0.750
Hg  0.500  0.500  0.500
Al  0.000  0.000  0.000

Values from the calculation:
* DFT total energy: -2.97 eV/atom
* E above lowest polymorph: 0.407 eV/atom
* formation enthalpy at 0 K: 0.363 eV per atom
* DOS at the Fermi energy: 0.57 states/eV/atom

***

Below is a geometry-optimized AlHgAs2 structure, with properties calculated at the PBE-GGA level.

Lattice parameters (Å, degrees): 2.991 2.991 9.978 90.00 90.00 112.60
Atoms (fractional coordinates):
As  0.000  0.000  0.998
As  0.500  0.500  0.224
Hg  0.000  0.000  0.506
Al  0.500  0.500  0.771

Values from the calculation:
* DFT total energy: -3.01 eV/atom
* E above lowest polymorph: 0.367 eV/atom
* formation enthalpy at 0 K: 0.324 eV per atom
* DOS at the Fermi energy: 0.49 states/eV/atom

***

Below is a geometry-optimized AlHgAs2 structure, with properties calculated at the PBE-GGA level.

Lattice parameters (Å, degrees): 3.752 3.752 7.325 75.58 75.58 60.08
Atoms (fractional coordinates):
As  0.998  0.998  0.999
As  0.264  0.264  0.220
Hg  0.495  0.495  0.511
Al  0.743  0.743  0.770

Values from the calculation:
* DFT total energy: -3.23 eV/atom
* E above lowest polymorph: 0.152 eV/atom
* formation enthalpy at 0 K: 0.109 eV per atom
* DOS at the Fermi energy: 0.45 states/eV/atom

***

Below is a geometry-optimized AlHgAs2 structure, with properties calculated at the PBE-GGA level.

Lattice parameters (Å, degrees): 3.702 2.828 8.220 100.23 90.00 90.00
Atoms (fractional coordinates):
As  0.000  0.058  0.999
As  0.500  0.178  0.225
Hg  0.000  0.322  0.518
Al  0.500  0.942  0.758

Values from the calculation:
* DFT total energy: -3.20 eV/atom
* E above lowest polymorph: 0.178 eV/atom
* formation enthalpy at 0 K: 0.134 eV per atom
* DOS at the Fermi energy: 0.39 states/eV/atom

***

Below is a geometry-optimized AlHgAs2 structure, with properties calculated at the PBE-GGA level.

Lattice parameters (Å, degrees): 3.618 3.608 7.042 90.00 90.00 90.00
Atoms (fractional coordinates):
As  0.000  0.000  0.832
As  0.500  0.500  0.283
Hg  0.000  0.000  0.458
Al  0.500  0.500  0.926

Values from the calculation:
* DFT total energy: -3.26 eV/atom
* E above lowest polymorph: 0.115 eV/atom
* formation enthalpy at 0 K: 0.071 eV per atom
* DOS at the Fermi energy: 0.46 states/eV/atom

***

Below is a geometry-optimized Al2HgAs structure, with properties calculated at the PBE-GGA level.

Lattice parameters (Å, degrees): 4.834 4.834 4.834 60.00 60.00 60.00
Atoms (fractional coordinates):
As  0.000  0.000  0.000
Hg  0.500  0.500  0.500
Al  0.250  0.250  0.250
Al  0.750  0.750  0.750

Values from the calculation:
* DFT total energy: -2.90 eV/atom
* E above lowest polymorph: 0.240 eV/atom
* formation enthalpy at 0 K: 0.209 eV per atom
* DOS at the Fermi energy: 0.56 states/eV/atom

***

Below is a geometry-optimized AlHgAs2 structure, with properties calculated at the PBE-GGA level.

Lattice parameters (Å, degrees): 6.158 6.158 6.158 151.45 132.53 56.33
Atoms (fractional coordinates):
As  0.047  0.047  0.000
As  0.453  0.453  0.000
Hg  0.750  0.250  0.500
Al  0.250  0.750  0.500

Values from the calculation:
* DFT total energy: -3.13 eV/atom
* E above lowest polymorph: 0.248 eV/atom
* formation enthalpy at 0 K: 0.204 eV per atom
* DOS at the Fermi energy: 0.45 states/eV/atom

***

Below is a geometry-optimized Al2HgAs structure, with properties calculated at the PBE-GGA level.

Lattice parameters (Å, degrees): 6.225 6.225 6.225 144.19 144.19 51.55
Atoms (fractional coordinates):
As  0.500  0.500  0.000
Hg  0.750  0.250  0.500
Al  0.000  0.000  0.000
Al  0.250  0.750  0.500

Values from the calculation:
* DFT total energy: -2.93 eV/atom
* E above lowest polymorph: 0.206 eV/atom
* formation enthalpy at 0 K: 0.175 eV per atom
* DOS at the Fermi energy: 0.39 states/eV/atom